1:
{"formula": "TaTlCd2", "functional": "PBEsol", "state": "relaxed", "lattice_angstrom": [[-1.4893, 2.6785, 5.1873], [1.4893, -2.6785, 5.1873], [1.4893, 2.6785, -5.1873]], "species": ["Ta", "Tl", "Cd", "Cd"], "frac_coords": [[0.0000, 0.0000, 0.0000], [0.2508, 0.7508, 0.5000], [0.5097, 0.5097, 0.0000], [0.7577, 0.2577, 0.5000]], "dos_ef_per_ev_fu": 3.26, "magmom_total_mub_per_fu": 0.00}

***

2:
{"formula": "TaTlCd2", "functional": "PBEsol", "state": "relaxed", "lattice_angstrom": [[0.0000, 3.4557, 3.4557], [3.4557, 0.0000, 3.4557], [3.4557, 3.4557, 0.0000]], "species": ["Ta", "Tl", "Cd", "Cd"], "frac_coords": [[0.0000, 0.0000, 0.0000], [0.7500, 0.7500, 0.7500], [0.2500, 0.2500, 0.2500], [0.5000, 0.5000, 0.5000]], "dos_ef_per_ev_fu": 4.25, "magmom_total_mub_per_fu": 1.68}

***

Energetically preferred structure: 1 | next structure: +22.0 kJ/mol of atoms

***

1:
{"formula": "TaTlCd2", "functional": "PBEsol", "state": "relaxed", "lattice_angstrom": [[2.9982, 0.0000, 0.0000], [0.0000, 4.9197, 0.0000], [0.0000, 0.0000, 5.5479]], "species": ["Ta", "Tl", "Cd", "Cd"], "frac_coords": [[0.0000, 0.0000, 0.0000], [0.0000, 0.5000, 0.7082], [0.5000, 0.0000, 0.4872], [0.5000, 0.5000, 0.1792]], "dos_ef_per_ev_fu": 2.83, "magmom_total_mub_per_fu": 0.00}

***

2:
{"formula": "TaTlCd2", "functional": "PBEsol", "state": "relaxed", "lattice_angstrom": [[-1.5187, 2.5157, 5.4279], [1.5187, -2.5157, 5.4279], [1.5187, 2.5157, -5.4279]], "species": ["Ta", "Tl", "Cd", "Cd"], "frac_coords": [[0.0000, 0.0000, 0.0000], [0.5000, 0.5000, 0.0000], [0.2313, 0.7313, 0.5000], [0.7687, 0.2687, 0.5000]], "dos_ef_per_ev_fu": 1.93, "magmom_total_mub_per_fu": 0.00}

***

Energetically preferred structure: 2 | next structure: +4.8 kJ/mol of atoms

***

1:
{"formula": "TaCd2W", "functional": "PBEsol", "state": "relaxed", "lattice_angstrom": [[2.7534, 0.0000, 0.0000], [0.0000, 4.3530, 0.0000], [0.0000, 0.0000, 6.0126]], "species": ["Ta", "Cd", "Cd", "W"], "frac_coords": [[0.0000, 0.0000, 0.0000], [0.0000, 0.0000, 0.4804], [0.5000, 0.5000, 0.7255], [0.5000, 0.5000, 0.2113]], "dos_ef_per_ev_fu": 3.01, "magmom_total_mub_per_fu": 0.00}

***

2:
{"formula": "TaCd2W", "functional": "PBEsol", "state": "relaxed", "lattice_angstrom": [[-1.5839, 2.4607, 4.6960], [1.5839, -2.4607, 4.6960], [1.5839, 2.4607, -4.6960]], "species": ["Ta", "Cd", "Cd", "W"], "frac_coords": [[0.0000, 0.0000, 0.0000], [0.4754, 0.4754, 0.0000], [0.7308, 0.2308, 0.5000], [0.2142, 0.7142, 0.5000]], "dos_ef_per_ev_fu": 1.98, "magmom_total_mub_per_fu": 0.00}

***

3:
{"formula": "TaCd2W", "functional": "PBEsol", "state": "relaxed", "lattice_angstrom": [[0.0000, 3.2758, 3.2758], [3.2758, 0.0000, 3.2758], [3.2758, 3.2758, 0.0000]], "species": ["Ta", "Cd", "Cd", "W"], "frac_coords": [[0.0000, 0.0000, 0.0000], [0.2500, 0.2500, 0.2500], [0.7500, 0.7500, 0.7500], [0.5000, 0.5000, 0.5000]], "dos_ef_per_ev_fu": 2.84, "magmom_total_mub_per_fu": 0.00}

***

4:
{"formula": "TaCd2W", "functional": "PBEsol", "state": "relaxed", "lattice_angstrom": [[2.8079, 0.0000, 0.0000], [0.0000, 4.5633, 0.0000], [-0.6834, 0.0000, 5.5710]], "species": ["Ta", "Cd", "Cd", "W"], "frac_coords": [[0.0000, 0.0000, 0.0000], [0.3970, 0.0000, 0.4845], [0.4025, 0.5000, 0.7512], [0.7874, 0.5000, 0.2392]], "dos_ef_per_ev_fu": 2.63, "magmom_total_mub_per_fu": 0.00}

***

Energetically preferred structure: 4 | next structure: +2.9 kJ/mol of atoms

***

1:
{"formula": "TaCdW", "functional": "PBEsol", "state": "relaxed", "lattice_angstrom": [[0.0000, 3.1567, 3.1567], [3.1567, 0.0000, 3.1567], [3.1567, 3.1567, 0.0000]], "species": ["Ta", "Cd", "W"], "frac_coords": [[0.0000, 0.0000, 0.0000], [0.7500, 0.7500, 0.7500], [0.2500, 0.2500, 0.2500]], "dos_ef_per_ev_fu": 4.84, "magmom_total_mub_per_fu": 0.01}

***

2:
{"formula": "TaCdW", "functional": "PBEsol", "state": "relaxed", "lattice_angstrom": [[2.8442, 0.0000, 0.0000], [-1.4221, 2.4631, 0.0000], [0.0000, 0.0000, 7.5185]], "species": ["Ta", "Cd", "W"], "frac_coords": [[0.0000, 0.0000, 0.0000], [0.6667, 0.3333, 0.3417], [0.3333, 0.6667, 0.6731]], "dos_ef_per_ev_fu": 2.66, "magmom_total_mub_per_fu": 0.00}

***

Energetically preferred structure: 2 | next structure: +91.1 kJ/mol of atoms

***

1:
{"formula": "Ta2ZnCd", "functional": "PBEsol", "state": "relaxed", "lattice_angstrom": [[-1.9834, 1.9834, 4.3570], [1.9834, -1.9834, 4.3570], [1.9834, 1.9834, -4.3570]], "species": ["Ta", "Ta", "Zn", "Cd"], "frac_coords": [[0.0000, 0.0000, 0.0000], [0.7500, 0.2500, 0.5000], [0.5000, 0.5000, 0.0000], [0.2500, 0.7500, 0.5000]], "dos_ef_per_ev_fu": 3.24, "magmom_total_mub_per_fu": 0.00}

***

2:
{"formula": "Ta2ZnCd", "functional": "PBEsol", "state": "relaxed", "lattice_angstrom": [[2.7851, -4.3622, 0.0000], [2.7851, 4.3622, 0.0000], [0.0000, 0.0000, 2.7937]], "species": ["Ta", "Ta", "Zn", "Cd"], "frac_coords": [[0.0000, 0.5000, 0.0000], [0.5000, 0.0000, 0.0000], [0.0000, 0.0000, 0.5000], [0.5000, 0.5000, 0.5000]], "dos_ef_per_ev_fu": 2.88, "magmom_total_mub_per_fu": 0.00}

***

Energetically preferred structure: 2 | next structure: +10.8 kJ/mol of atoms

***

1:
{"formula": "ZrTaCd2", "functional": "PBEsol", "state": "relaxed", "lattice_angstrom": [[3.0379, 0.0000, 0.0000], [0.0000, 4.1391, 0.0000], [0.0000, 0.0000, 6.2735]], "species": ["Zr", "Ta", "Cd", "Cd"], "frac_coords": [[0.0000, 0.0000, 0.0000], [0.5000, 0.5000, 0.7700], [0.0000, 0.0000, 0.5133], [0.5000, 0.5000, 0.2708]], "dos_ef_per_ev_fu": 2.43, "magmom_total_mub_per_fu": 0.00}

***

2:
{"formula": "ZrTaCd2", "functional": "PBEsol", "state": "relaxed", "lattice_angstrom": [[1.9414, -2.1737, 0.0000], [1.9414, 2.1737, 0.0000], [0.0000, 0.0000, 9.2921]], "species": ["Zr", "Ta", "Cd", "Cd"], "frac_coords": [[0.0000, 0.0000, 0.0000], [0.5000, 0.5000, 0.7573], [0.0000, 0.0000, 0.5118], [0.5000, 0.5000, 0.2620]], "dos_ef_per_ev_fu": 2.51, "magmom_total_mub_per_fu": 0.00}

***

Energetically preferred structure: 2 | next structure: +11.3 kJ/mol of atoms

***

1:
{"formula": "TlCdTc2", "functional": "PBEsol", "state": "relaxed", "lattice_angstrom": [[2.9593, 0.0000, 0.0000], [0.0000, 2.9593, 0.0000], [0.0000, 0.0000, 8.2797]], "species": ["Tl", "Cd", "Tc", "Tc"], "frac_coords": [[0.0000, 0.0000, 0.0000], [0.5000, 0.5000, 0.3173], [0.0000, 0.0000, 0.5657], [0.5000, 0.5000, 0.7340]], "dos_ef_per_ev_fu": 2.10, "magmom_total_mub_per_fu": 0.00}

***

2:
{"formula": "TlCdTc2", "functional": "PBEsol", "state": "relaxed", "lattice_angstrom": [[3.1303, 0.0000, 0.0000], [0.0000, 4.6647, 0.0000], [0.0000, 0.0000, 4.6740]], "species": ["Tl", "Cd", "Tc", "Tc"], "frac_coords": [[0.0000, 0.0000, 0.0000], [0.5000, 0.5000, 0.0000], [0.0000, 0.5000, 0.5000], [0.5000, 0.0000, 0.5000]], "dos_ef_per_ev_fu": 4.41, "magmom_total_mub_per_fu": 0.00}

***

Energetically preferred structure: 1 | next structure: +50.4 kJ/mol of atoms

***

1:
{"formula": "TlCd2Tc", "functional": "PBEsol", "state": "relaxed", "lattice_angstrom": [[3.1484, 0.0000, 0.0000], [0.0000, 4.1698, 0.0000], [0.0000, 0.0000, 5.8865]], "species": ["Tl", "Cd", "Cd", "Tc"], "frac_coords": [[0.0000, 0.0000, 0.0000], [0.5000, 0.5000, 0.2717], [0.5000, 0.5000, 0.7283], [0.0000, 0.0000, 0.5000]], "dos_ef_per_ev_fu": 3.07, "magmom_total_mub_per_fu": 1.34}

***

2:
{"formula": "TlCd2Tc", "functional": "PBEsol", "state": "relaxed", "lattice_angstrom": [[0.0000, 3.3979, 3.3979], [3.3979, 0.0000, 3.3979], [3.3979, 3.3979, 0.0000]], "species": ["Tl", "Cd", "Cd", "Tc"], "frac_coords": [[0.0000, 0.0000, 0.0000], [0.2500, 0.2500, 0.2500], [0.7500, 0.7500, 0.7500], [0.5000, 0.5000, 0.5000]], "dos_ef_per_ev_fu": 3.74, "magmom_total_mub_per_fu": 0.00}

***

Energetically preferred structure: 1 | next structure: +23.4 kJ/mol of atoms